1.
The following is a DFT calculation (PBE) of LaDy5Ho5 after structural relaxation.

* total energy: -4.308 eV per atom
* space group: P-6m2 (187)
* total magnetic moment: 0.00 μB per formula unit
* DOS(E_F): 18.93 states/eV per cell
* E_form: 0.313 eV per atom

Cell lengths 6.0781, 6.0781, 11.5620 Å; angles 90.00, 90.00, 120.00 degrees
Positions (direct):
1 Ho 0.0000 0.0000 0.2646
2 Ho 0.8328 0.1672 0.5000
3 Ho 0.8328 0.6656 0.5000
4 Ho 0.3344 0.1672 0.5000
5 Ho 0.0000 0.0000 0.7354
6 Dy 0.0000 0.0000 0.0000
7 Dy 0.3333 0.6667 0.6704
8 Dy 0.6667 0.3333 0.8407
9 Dy 0.6667 0.3333 0.1593
10 Dy 0.3333 0.6667 0.3296
11 La 0.3333 0.6667 0.0000



2.
The following is a DFT calculation (PBE) of Hg2PtAu after structural relaxation.

* total energy: -2.370 eV per atom
* space group: I-4m2 (119)
* total magnetic moment: 0.00 μB per formula unit
* DOS(E_F): 1.43 states/eV per cell
* polymorph energy (0 for the lowest one): 70 meV per atom
* E_form: 0.111 eV per atom

Cell lengths 5.4678, 5.4678, 5.4678 Å; angles 136.35, 136.35, 63.43 degrees
Positions (direct):
1 Hg 0.2500 0.7500 0.5000
2 Hg 0.0000 0.0000 0.0000
3 Au 0.7500 0.2500 0.5000
4 Pt 0.5000 0.5000 0.0000



3.
The following is a DFT calculation (PBE) of Y3Tm5Al12 after structural relaxation.

* total energy: -3.956 eV per atom
* space group: Ia-3d (230)
* total magnetic moment: 0.00 μB per formula unit
* DOS(E_F): 56.75 states/eV per cell
* E_form: 0.377 eV per atom

Cell lengths 14.7869, 14.7869, 14.7869 Å; angles 109.47, 109.47, 109.47 degrees
Positions (direct):
1 Al 0.2745 0.4328 0.8622
2 Al 0.7745 0.4123 0.3418
3 Al 0.4295 0.0877 0.3622
4 Al 0.0877 0.6582 0.7255
5 Al 0.7255 0.1582 0.0877
6 Al 0.1378 0.0705 0.9123
7 Al 0.5705 0.9123 0.6378
8 Al 0.8622 0.9295 0.0877
9 Al 0.5877 0.3622 0.9295
10 Al 0.9123 0.3418 0.2745
11 Al 0.3622 0.7745 0.4328
12 Al 0.9123 0.5705 0.1378
13 Al 0.3622 0.5877 0.4295
14 Al 0.1582 0.4328 0.0705
15 Al 0.2745 0.8418 0.9123
16 Al 0.9295 0.0672 0.8418
17 Al 0.0672 0.9295 0.3418
18 Al 0.1378 0.0672 0.7255
19 Al 0.5672 0.8418 0.4295
20 Al 0.2255 0.5877 0.6582
21 Al 0.8622 0.9328 0.2745
22 Al 0.8418 0.2745 0.4123
23 Al 0.3418 0.4295 0.0672
24 Al 0.0877 0.4295 0.8622
25 Al 0.9328 0.0705 0.6582
26 Al 0.3418 0.9123 0.7745
27 Al 0.5877 0.2255 0.1582
28 Al 0.2255 0.6378 0.0672
29 Al 0.4295 0.3418 0.5672
30 Al 0.0705 0.9328 0.1582
31 Al 0.0672 0.1378 0.2255
32 Al 0.4328 0.2745 0.3622
33 Al 0.6378 0.2255 0.5672
34 Al 0.6582 0.5705 0.9328
35 Al 0.9295 0.8622 0.5877
36 Al 0.0705 0.1378 0.4123
37 Al 0.7255 0.5672 0.1378
38 Al 0.4123 0.6378 0.0705
39 Al 0.4123 0.7745 0.8418
40 Al 0.9328 0.8622 0.7745
41 Al 0.4328 0.1582 0.5705
42 Al 0.8418 0.5672 0.9295
43 Al 0.7745 0.3622 0.9328
44 Al 0.5672 0.7255 0.6378
45 Al 0.6378 0.4123 0.5705
46 Al 0.6582 0.0877 0.2255
47 Al 0.1582 0.7255 0.5877
48 Al 0.5705 0.6582 0.4328
49 Y 0.8750 0.7500 0.1250
50 Y 0.1250 0.2500 0.8750
51 Y 0.1250 0.8750 0.7500
52 Y 0.2500 0.1250 0.3750
53 Y 0.6250 0.2500 0.3750
54 Y 0.8750 0.1250 0.2500
55 Y 0.2500 0.6250 0.8750
56 Y 0.3750 0.7500 0.6250
57 Y 0.3750 0.6250 0.2500
58 Y 0.6250 0.3750 0.7500
59 Y 0.7500 0.8750 0.6250
60 Y 0.7500 0.3750 0.1250
61 Tm 0.0000 0.5000 0.5000
62 Tm 0.5000 0.0000 0.5000
63 Tm 0.8750 0.2500 0.6250
64 Tm 0.0000 0.0000 0.0000
65 Tm 0.5000 0.5000 0.0000
66 Tm 0.1250 0.7500 0.3750
67 Tm 0.3750 0.1250 0.7500
68 Tm 0.6250 0.8750 0.2500
69 Tm 0.7500 0.6250 0.3750
70 Tm 0.7500 0.1250 0.8750
71 Tm 0.0000 0.5000 0.0000
72 Tm 0.0000 0.0000 0.5000
73 Tm 0.2500 0.3750 0.6250
74 Tm 0.3750 0.2500 0.1250
75 Tm 0.8750 0.6250 0.7500
76 Tm 0.6250 0.7500 0.8750
77 Tm 0.5000 0.0000 0.0000
78 Tm 0.2500 0.8750 0.1250
79 Tm 0.5000 0.5000 0.5000
80 Tm 0.1250 0.3750 0.2500



4.
The following is a DFT calculation (PBE) of Ba2IrW after structural relaxation.

* total energy: -5.034 eV per atom
* space group: R-3m (166)
* total magnetic moment: 0.00 μB per formula unit
* DOS(E_F): 4.71 states/eV per cell
* polymorph energy (0 for the lowest one): 1233 meV per atom
* E_form: 1.381 eV per atom

Cell lengths 10.8644, 10.8644, 10.8644 Å; angles 17.66, 17.66, 17.66 degrees
Positions (direct):
1 W 0.7500 0.7500 0.7500
2 Ba 0.5064 0.5064 0.5064
3 Ba 0.9936 0.9936 0.9936
4 Ir 0.2500 0.2500 0.2500